A plane-wave DFT calculation with PBE was carried out for crystalline ZrCoRh2 at its relaxed geometry.

Unit cell a=4.2586 b=2.8183 c=5.2861 alpha=75.41 beta=90.00 gamma=90.00
Last column: nearest neighbours and their distance in Å.
Atoms (fractional coordinates):
Co  0.5000  0.7500  0.7500  4 Rh 2.53, 2 Zr 2.66, 2 Co 2.82
Zr  0.5000  0.2500  0.2500  2 Co 2.66, 2 Zr 2.82, 8 Rh 2.88-2.94
Rh  0.0000  0.9013  0.9758  2 Co 2.53, 5 Rh 2.68-2.82
Rh  0.0000  0.5987  0.5242  2 Co 2.53, 5 Rh 2.68-2.82

As for the symmetry: No. 10. As for the formation energy: -0.208 eV per atom. As for the energy: -7.797 eV/atom.